A plane-wave DFT calculation with GGA+U was carried out for FeCo3O8 after structural relaxation.

a b c (Å): 5.6368 5.6368 9.0007
angles (deg): 90.00 90.00 120.00
Each line ends with the local moment (μB).
Sites, in units of the cell vectors:
O (0.8388, 0.6777, 0.1066)  0.09
O (0.6777, 0.8388, 0.6066)  0.09
O (0.3223, 0.1612, 0.1066)  0.09
O (0.1612, 0.8388, 0.6066)  0.09
O (0.9626, 0.4813, 0.8313)  -0.12
O (0.0374, 0.5187, 0.3313)  -0.12
O (0.6667, 0.3333, 0.6028)  -0.12
O (0.5187, 0.0374, 0.8313)  -0.12
O (0.0000, 0.0000, 0.8178)  -0.17
O (0.3333, 0.6667, 0.1028)  -0.12
O (0.0000, 0.0000, 0.3178)  -0.17
O (0.5187, 0.4813, 0.8313)  -0.12
O (0.8388, 0.1612, 0.1066)  0.09
O (0.4813, 0.5187, 0.3313)  -0.12
O (0.1612, 0.3223, 0.6066)  0.09
O (0.4813, 0.9626, 0.3313)  -0.12
Co (0.6652, 0.8326, 0.2109)  1.06
Co (0.8326, 0.6652, 0.7109)  1.06
Co (0.8326, 0.1674, 0.7109)  1.06
Co (0.3348, 0.1674, 0.7109)  1.06
Co (0.1674, 0.3348, 0.2109)  1.06
Co (0.1674, 0.8326, 0.2109)  1.06
Fe (0.6667, 0.3333, 0.9911)  4.17
Fe (0.3333, 0.6667, 0.4911)  4.17

symmetry: P6_3mc (186)
energy above the lowest structure with this stoichiometry: 0.0 meV/atom
V: 124 Å³/f.u.